A plane-wave DFT calculation with PBE was carried out for a relaxed structure of PrHg2Pd2.

Results
energy above the lowest structure with this stoichiometry: 6.0 kJ per mole of atoms
ΔH_f (0 K): -0.4206 eV/atom
DOS at the Fermi energy: 0.5817 states/eV/atom

POSCAR file:
```
PrHg2Pd2
1.0
-3.895 -0.729 -1.315
0.615 -4.109 0.406
-0.428 2.794 6.610
Hg Pr Pd
2 1 2
direct
0.250 0.750 0.500 Hg
0.750 0.250 0.500 Hg
0.000 0.000 0.000 Pr
0.596 0.596 0.202 Pd
0.404 0.404 0.798 Pd
```